Record 1
# RbRe3O12

A relaxed RbRe3O12 crystal (PBE, Alexandria via LeMat-Bulk).

Unit cell a=9.6895 b=9.6895 c=9.6895 alpha=61.72 beta=61.72 gamma=61.72
Atoms (fractional coordinates):
Rb 0.0000 0.0000 0.0000
Rb 0.5000 0.5000 0.5000
Re 0.0182 0.4984 0.8864
Re 0.3864 0.9984 0.5182
Re 0.4984 0.8864 0.0182
Re 0.5182 0.3864 0.9984
Re 0.8864 0.0182 0.4984
Re 0.9984 0.5182 0.3864
O 0.0207 0.9559 0.3245
O 0.1012 0.4367 0.2204
O 0.1388 0.4475 0.4918
O 0.2204 0.1012 0.4367
O 0.2337 0.4339 0.8029
O 0.3029 0.9339 0.7337
O 0.3245 0.0207 0.9559
O 0.4339 0.8029 0.2337
O 0.4367 0.2204 0.1012
O 0.4475 0.4918 0.1388
O 0.4559 0.5207 0.8245
O 0.4918 0.1388 0.4475
O 0.5207 0.8245 0.4559
O 0.6012 0.7204 0.9367
O 0.6388 0.9918 0.9475
O 0.7204 0.9367 0.6012
O 0.7337 0.3029 0.9339
O 0.8029 0.2337 0.4339
O 0.8245 0.4559 0.5207
O 0.9339 0.7337 0.3029
O 0.9367 0.6012 0.7204
O 0.9475 0.6388 0.9918
O 0.9559 0.3245 0.0207
O 0.9918 0.9475 0.6388

Values from the calculation:
energy	-7.48	eV per atom
space group	R3c (161)
formation energy from raw total energies	-1.37	eV/atom
total magnetic moment	4.3	μB/cell

Record 2
# CuRh2W

A relaxed CuRh2W crystal (PBE, Alexandria via LeMat-Bulk).

Unit cell a=4.8221 b=4.8221 c=4.8221 alpha=134.41 beta=134.41 gamma=66.45
Atoms (fractional coordinates):
Cu 0.0000 0.0000 0.0000
Rh 0.5000 0.5000 0.0000
Rh 0.7500 0.2500 0.5000
W 0.2500 0.7500 0.5000

Values from the calculation:
energy of formation from the pure elements	-52	meV per atom
energy	-7.99	eV per atom
space group	I-4m2 (119)
ΔE to the lowest computed polymorph	0.0966	eV/atom
total magnetic moment	0.0	μB/cell

Record 3
# FeSi2Tc2

A relaxed FeSi2Tc2 crystal (PBE, Alexandria via LeMat-Bulk).

Unit cell a=6.7647 b=6.7647 c=3.0077 alpha=90.00 beta=90.00 gamma=90.00
Atoms (fractional coordinates):
Fe 0.0000 0.0000 0.0000
Fe 0.5000 0.5000 0.0000
Si 0.1551 0.3449 0.5000
Si 0.3449 0.8449 0.5000
Si 0.6551 0.1551 0.5000
Si 0.8449 0.6551 0.5000
Tc 0.1433 0.6433 0.0000
Tc 0.3567 0.1433 0.0000
Tc 0.6433 0.8567 0.0000
Tc 0.8567 0.3567 0.0000

Values from the calculation:
energy	-7.93	eV per atom
space group	P4/mbm (127)
formation energy from raw total energies	0.08	eV/atom
ΔE to the lowest computed polymorph	0.3574	eV/atom
total magnetic moment	0.1	μB/cell